A plane-wave DFT calculation with GGA-PBE was carried out for an optimized crystal structure of Np2PaCoS5.

The energy relative to the elements, uncorrected comes out at -125.7 kJ/mol of atoms. As for the total energy: -299.40 eV for the cell shown. The total magnetization comes out at 0.1 μB per cell.

a b c (Å): 3.6896 16.1907 11.7953
angles (deg): 90.00 90.00 90.00
Space group Cmc2_1 (No. 36)
Unique sites:
Np  0.0000  0.1070  0.0000
Np  0.0000  0.1195  0.3462
Pa  0.0000  0.1779  0.6716
Co  0.0000  0.4411  0.0667
S  0.0000  0.0141  0.6608
S  0.0000  0.3080  0.3418
S  0.0000  0.3139  0.0010
S  0.0000  0.3444  0.6689
S  0.0000  0.4980  0.4002